Entry 1:
DFT (PBE-GGA) results for a relaxed ScSb2IrS crystal.

Cell lengths 5.4724, 4.6847, 5.4724 Å; angles 90.00, 90.00, 90.00 degrees
Sites, in units of the cell vectors:
Ir1 0.0000 0.5000 0.0000
Sb1 0.0000 0.0000 0.5000
Sb2 0.5000 0.0000 0.0000
S1 0.5000 0.5000 0.5000
Sc1 0.0000 0.0000 0.0000

## Properties
space-group type = P4/mmm (123)

=====

Entry 2:
DFT (PBE-GGA) results for a relaxed CoRuSe2 crystal.

Cell lengths 4.0249, 4.0249, 5.4871 Å; angles 77.21, 77.21, 46.01 degrees
Sites, in units of the cell vectors:
Ru1 0.7500 0.7500 0.7500
Se1 0.0001 0.0001 0.0040
Se2 0.4999 0.4999 0.4960
Co1 0.2500 0.2500 0.2500

## Properties
space-group type = C2/m (12)
relative energy among the computed polymorphs = 454 meV per atom

=====

Entry 3:
DFT (PBE-GGA) results for a relaxed Ti2InIrBr crystal.

Cell lengths 5.1182, 5.0572, 5.1182 Å; angles 90.00, 90.00, 90.00 degrees
Sites, in units of the cell vectors:
Ir1 0.5000 0.5000 0.5000
Br1 0.0000 0.5000 0.0000
In1 0.0000 0.0000 0.0000
Ti1 0.5000 0.0000 0.0000
Ti2 0.0000 0.0000 0.5000

## Properties
space-group type = P4/mmm (123)

=====

no.,raw formation energy (eV/atom),magnetization (μB/f.u.)
1,0.978,0.00
2,0.191,1.84
3,1.788,0.01